No. 1
First-principles (PBE-GGA) data for an optimized crystal structure of Co2AgB, as listed in Alexandria via LeMat-Bulk.

Calculated values
Formation energy: 0.802 eV/atom
DOS at the Fermi energy: 3.43 states/eV/f.u.
Raw total energy: -5.133 eV/atom
Total moment: 4.23 Bohr magnetons per cell
Crystal system: tetragonal
Space-group type: I-42d

```
Co2AgB
1.0
4.137 0.000 0.000
0.000 4.137 0.000
2.068 2.068 6.632
Co B Ag
4 2 2
Direct
0.875 0.720 0.750 Co
0.280 0.625 0.250 Co
0.375 0.530 0.750 Co
0.470 0.125 0.250 Co
0.500 0.500 0.000 B
0.250 0.750 0.500 B
0.000 0.000 0.000 Ag
0.750 0.250 0.500 Ag
```



No. 2
First-principles (PBE-GGA) data for an optimized crystal structure of Mn3AgRu, as listed in Alexandria via LeMat-Bulk.

Calculated values
Formation energy: 1.109 eV/atom
DOS at the Fermi energy: 5.79 states/eV/f.u.
Raw total energy: -6.818 eV/atom
Total moment: 12.09 Bohr magnetons per cell
Crystal system: cubic
Space-group type: Pm-3m

```
Mn3AgRu
1.0
4.727 0.000 0.000
0.000 4.727 0.000
0.000 0.000 4.727
Ru Mn Ag
1 3 1
Direct
0.000 0.000 0.000 Ru
0.500 0.000 0.000 Mn
0.000 0.000 0.500 Mn
0.000 0.500 0.000 Mn
0.500 0.500 0.500 Ag
```



No. 3
First-principles (PBE-GGA) data for an optimized crystal structure of Sc3InGe, as listed in Alexandria via LeMat-Bulk.

Calculated values
Formation energy: 0.393 eV/atom
DOS at the Fermi energy: 1.29 states/eV/f.u.
Raw total energy: -4.877 eV/atom
Total moment: 0.00 Bohr magnetons per cell
Crystal system: cubic
Space-group type: Pm-3m

```
Sc3InGe
1.0
5.259 0.000 0.000
0.000 5.259 0.000
0.000 0.000 5.259
In Sc Ge
1 3 1
Direct
0.000 0.000 0.000 In
0.500 0.000 0.000 Sc
0.000 0.000 0.500 Sc
0.000 0.500 0.000 Sc
0.500 0.500 0.500 Ge
```



What is the formula in the first record?
Co2AgB



total moment of number 1 (Co2AgB)?
4.23 Bohr magnetons per cell



Please write out number 2 again, unchanged.
First-principles (PBE-GGA) data for an optimized crystal structure of Mn3AgRu, as listed in Alexandria via LeMat-Bulk.

Calculated values
Formation energy: 1.109 eV/atom
DOS at the Fermi energy: 5.79 states/eV/f.u.
Raw total energy: -6.818 eV/atom
Total moment: 12.09 Bohr magnetons per cell
Crystal system: cubic
Space-group type: Pm-3m

```
Mn3AgRu
1.0
4.727 0.000 0.000
0.000 4.727 0.000
0.000 0.000 4.727
Ru Mn Ag
1 3 1
Direct
0.000 0.000 0.000 Ru
0.500 0.000 0.000 Mn
0.000 0.000 0.500 Mn
0.000 0.500 0.000 Mn
0.500 0.500 0.500 Ag
```